Computed, not measured: crystalline SrLaZn4 at its relaxed geometry at the GGA-PBEsol level of DFT.

Its total magnetic moment is 0.0000 μB/atom. The volume comes out at 20.7 Å³ per atom. As for the energy of formation from the pure elements: -0.222 eV/atom. The calculation puts the total energy at -2.4741 eV/atom. As for the density of states at the Fermi level: 16.7 states/eV/cell.

The space group is F-43m (No. 216) and the conventional cell measures 7.922, 7.922 and 7.922 Å, with angles of 90.00, 90.00 and 90.00 degrees. The asymmetric unit holds Sr at (0.000, 0.000, 0.000), La at (0.250, 0.250, 0.750) and Zn at (0.124, 0.124, 0.376).

=====

Computed, not measured: crystalline CdInSnP2 at its relaxed geometry at the GGA-PBEsol level of DFT.

Its total magnetic moment is 0.0000 μB/atom. The volume comes out at 26.6 Å³ per atom. As for the energy of formation from the pure elements: 0.861 eV/atom. The calculation puts the total energy at -3.1438 eV/atom. As for the density of states at the Fermi level: 3.2 states/eV/cell.

The space group is P4/mmm (No. 123) and the conventional cell measures 4.886, 4.886 and 5.576 Å, with angles of 90.00, 90.00 and 90.00 degrees. The asymmetric unit holds Cd at (0.000, 0.000, 0.000), In at (0.500, 0.500, 0.500), Sn at (0.000, 0.000, 0.500) and P at (0.000, 0.500, 0.000).

=====

Computed, not measured: crystalline Ba2Tl2Pb at its relaxed geometry at the GGA-PBEsol level of DFT.

Its total magnetic moment is 0.0000 μB/atom. The volume comes out at 39.9 Å³ per atom. As for the energy of formation from the pure elements: -0.026 eV/atom. The calculation puts the total energy at -2.7372 eV/atom. The energy above the lowest structure with this stoichiometry comes out at 376 meV/atom. As for the density of states at the Fermi level: 2.8 states/eV/cell.

The space group is I4/mmm (No. 139) and the conventional cell measures 5.447, 5.447 and 13.456 Å, with angles of 90.00, 90.00 and 90.00 degrees. The asymmetric unit holds Ba at (0.000, 0.500, 0.250), Tl at (0.000, 0.000, 0.100) and Pb at (0.000, 0.000, 0.500).

=====

Computed, not measured: crystalline MnBeZn4 at its relaxed geometry at the GGA-PBEsol level of DFT.

Its total magnetic moment is 0.5820 μB/atom. The volume comes out at 13.4 Å³ per atom. As for the energy of formation from the pure elements: 0.277 eV/atom. The calculation puts the total energy at -3.0710 eV/atom. As for the density of states at the Fermi level: 6.8 states/eV/cell.

The space group is F-43m (No. 216) and the conventional cell measures 6.852, 6.852 and 6.852 Å, with angles of 90.00, 90.00 and 90.00 degrees. The asymmetric unit holds Mn at (0.000, 0.000, 0.000), Be at (0.250, 0.250, 0.750) and Zn at (0.125, 0.125, 0.375).

=====

Computed, not measured: crystalline MgTc2Pt at its relaxed geometry at the GGA-PBEsol level of DFT.

Its total magnetic moment is 0.0001 μB/atom. The volume comes out at 14.8 Å³ per atom. As for the energy of formation from the pure elements: -0.070 eV/atom. The calculation puts the total energy at -7.8733 eV/atom. As for the density of states at the Fermi level: 3.5 states/eV/cell.

The space group is Pmm2 (No. 25) and the conventional cell measures 2.742, 3.856 and 5.609 Å, with angles of 90.00, 90.00 and 90.00 degrees. The asymmetric unit holds Mg at (0.000, 0.000, 0.000), Tc at (0.000, 0.000, 0.510), Tc at (0.500, 0.500, 0.707) and Pt at (0.500, 0.500, 0.224).

=====

Computed, not measured: crystalline Ta2AgPbBr at its relaxed geometry at the GGA-PBEsol level of DFT.

Its total magnetic moment is 0.0034 μB/atom. The volume comes out at 24.9 Å³ per atom. The calculation puts the total energy at -5.0757 eV/atom. As for the density of states at the Fermi level: 5.3 states/eV/cell.

The space group is P4/mmm (No. 123) and the conventional cell measures 5.073, 5.073 and 4.831 Å, with angles of 90.00, 90.00 and 90.00 degrees. The asymmetric unit holds Ta at (0.000, 0.500, 0.000), Ag at (0.000, 0.000, 0.000), Pb at (0.500, 0.500, 0.500) and Br at (0.000, 0.000, 0.500).